# 1
Rb2AsCl6F (PBE, optimized geometry); ΔE_f (raw) = -1151 meV/atom; raw total energy = -3.10 eV/atom; Fermi-level density of states = 0.00 states/eV/cell
1.0
-6.0976 4.6515 -0.0996
-2.0484 -2.8314 -6.8274
-6.5495 -2.2920 -1.3926
As F Rb Cl
1 1 2 6
Cartesian
0.0000 0.0000 0.0000
-4.0730 0.9101 -3.4635
-8.3600 1.6348 -2.4778
-6.3354 -2.1066 -5.8418
-5.3080 -0.6868 -2.4307
-9.3874 0.2149 -5.8889
-1.7865 0.3992 -1.5192
-6.3595 1.4209 -5.4078
-5.2095 3.0104 -1.5751
-2.9364 -1.1903 -5.3519

# 2
NaErI2 (PBE, optimized geometry); ΔE_f (raw) = -809 meV/atom; raw total energy = -3.06 eV/atom; Fermi-level density of states = 2.52 states/eV/cell
1.0
-1.6462 0.0197 3.6471
1.9961 -1.5459 3.1044
4.7138 9.4862 4.2716
I Na Er
2 1 1
Cartesian
3.2444 6.2916 3.6256
1.8194 1.6685 7.3976
0.0000 0.0000 0.0000
2.5319 3.9800 5.5116

# 3
Y3Be (PBE, optimized geometry); raw total energy = -5.68 eV/atom; Fermi-level density of states = 4.67 states/eV/cell; E above lowest polymorph = 12.1 kJ/mol of formula units
1.0
-2.9704 5.2610 -2.2479
-2.1505 0.2953 -6.0698
-0.1908 -3.0148 5.6946
Y Be
3 1
Cartesian
-2.8247 2.9659 -3.8708
-3.3645 2.9592 -0.4537
-2.4780 -0.0406 -1.5907
-0.2587 0.1838 0.2821